Record 1
# La2PHPd

Crystalline La2PHPd at its relaxed geometry (PBE, Alexandria via LeMat-Bulk).

Structure (CIF):
```
data_La2PHPd
_cell_length_a 5.1768
_cell_length_b 5.1768
_cell_length_c 3.6967
_cell_angle_alpha 90.00
_cell_angle_beta 90.00
_cell_angle_gamma 90.00
_symmetry_space_group_name_H-M 'P 1'
_symmetry_Int_Tables_number 1
loop_
_symmetry_equiv_pos_as_xyz
'x,y,z'
loop_
_atom_site_label
_atom_site_type_symbol
_atom_site_fract_x
_atom_site_fract_y
_atom_site_fract_z
La1 La 0.0000 0.5000 0.0000
La2 La 0.5000 0.0000 0.0000
P1 P 0.0000 0.0000 0.5000
H1 H 0.0000 0.0000 0.0000
Pd1 Pd 0.5000 0.5000 0.5000
```

Values from the calculation:
Density of states at the Fermi level = 3.982 states/eV per cell
Theoretical density = 7.0 g/cm³
Calculated total energy = -5.39 eV per atom
Magnetization = 0.4 Bohr magnetons per cell

---

Record 2
# NbReAs2Br

Crystalline NbReAs2Br at its relaxed geometry (PBE, Alexandria via LeMat-Bulk).

Structure (CIF):
```
data_NbReAs2Br
_cell_length_a 5.0293
_cell_length_b 5.0293
_cell_length_c 5.1477
_cell_angle_alpha 90.00
_cell_angle_beta 90.00
_cell_angle_gamma 90.00
_symmetry_space_group_name_H-M 'P 1'
_symmetry_Int_Tables_number 1
loop_
_symmetry_equiv_pos_as_xyz
'x,y,z'
loop_
_atom_site_label
_atom_site_type_symbol
_atom_site_fract_x
_atom_site_fract_y
_atom_site_fract_z
Nb1 Nb 0.0000 0.0000 0.0000
Re1 Re 0.5000 0.5000 0.5000
As1 As 0.0000 0.5000 0.0000
As2 As 0.5000 0.0000 0.0000
Br1 Br 0.0000 0.0000 0.5000
```

Values from the calculation:
ΔE to the lowest computed polymorph = 199.1 meV per atom
Density of states at the Fermi level = 1.951 states/eV per cell
Theoretical density = 6.5 g/cm³
Calculated total energy = -5.47 eV per atom
Magnetization = 5.2 Bohr magnetons per cell

---

Record 3
# Cr2Ir

Crystalline Cr2Ir at its relaxed geometry (PBE, Alexandria via LeMat-Bulk).

Structure (CIF):
```
data_Cr2Ir
_cell_length_a 6.2670
_cell_length_b 6.2670
_cell_length_c 3.8666
_cell_angle_alpha 90.00
_cell_angle_beta 90.00
_cell_angle_gamma 120.00
_symmetry_space_group_name_H-M 'P 1'
_symmetry_Int_Tables_number 1
loop_
_symmetry_equiv_pos_as_xyz
'x,y,z'
loop_
_atom_site_label
_atom_site_type_symbol
_atom_site_fract_x
_atom_site_fract_y
_atom_site_fract_z
Cr1 Cr 0.0000 0.2532 0.0000
Cr2 Cr 0.0000 0.5862 0.5000
Cr3 Cr 0.2532 0.0000 0.0000
Cr4 Cr 0.4138 0.4138 0.5000
Cr5 Cr 0.5862 0.0000 0.5000
Cr6 Cr 0.7468 0.7468 0.0000
Ir1 Ir 0.0000 0.0000 0.5000
Ir2 Ir 0.3333 0.6667 0.0000
Ir3 Ir 0.6667 0.3333 0.0000
```

Values from the calculation:
Density of states at the Fermi level = 11.146 states/eV per cell
Theoretical density = 11.2 g/cm³
Calculated formation energy = 0.2638 eV per atom
Calculated total energy = -9.11 eV per atom
Magnetization = 3.6 Bohr magnetons per cell

---

Record 4
# Pm3CoPt

Crystalline Pm3CoPt at its relaxed geometry (PBE, Alexandria via LeMat-Bulk).

Structure (CIF):
```
data_Pm3CoPt
_cell_length_a 10.4627
_cell_length_b 10.4627
_cell_length_c 6.6821
_cell_angle_alpha 97.62
_cell_angle_beta 97.62
_cell_angle_gamma 21.08
_symmetry_space_group_name_H-M 'P 1'
_symmetry_Int_Tables_number 1
loop_
_symmetry_equiv_pos_as_xyz
'x,y,z'
loop_
_atom_site_label
_atom_site_type_symbol
_atom_site_fract_x
_atom_site_fract_y
_atom_site_fract_z
Pm1 Pm 0.0122 0.0122 0.2526
Pm2 Pm 0.1861 0.1861 0.1373
Pm3 Pm 0.3599 0.3599 0.3805
Pm4 Pm 0.6401 0.6401 0.6195
Pm5 Pm 0.8139 0.8139 0.8627
Pm6 Pm 0.9878 0.9878 0.7474
Co1 Co 0.2377 0.2377 0.5854
Co2 Co 0.7623 0.7623 0.4146
Pt1 Pt 0.4231 0.4231 0.9929
Pt2 Pt 0.5769 0.5769 0.0071
```

Values from the calculation:
ΔE to the lowest computed polymorph = 35.5 meV per atom
Density of states at the Fermi level = 9.794 states/eV per cell
Theoretical density = 8.8 g/cm³
Calculated formation energy = -0.4829 eV per atom
Calculated total energy = -5.96 eV per atom
Magnetization = 0.6 Bohr magnetons per cell

---

Record 5
# Th2ScAl2

Crystalline Th2ScAl2 at its relaxed geometry (PBE, Alexandria via LeMat-Bulk).

Structure (CIF):
```
data_Th2ScAl2
_cell_length_a 6.0409
_cell_length_b 6.0409
_cell_length_c 6.0409
_cell_angle_alpha 136.28
_cell_angle_beta 117.37
_cell_angle_gamma 79.49
_symmetry_space_group_name_H-M 'P 1'
_symmetry_Int_Tables_number 1
loop_
_symmetry_equiv_pos_as_xyz
'x,y,z'
loop_
_atom_site_label
_atom_site_type_symbol
_atom_site_fract_x
_atom_site_fract_y
_atom_site_fract_z
Th1 Th 0.2057 0.2057 0.0000
Th2 Th 0.7943 0.7943 0.0000
Sc1 Sc 0.5000 0.0000 0.5000
Al1 Al 0.2111 0.5000 0.7111
Al2 Al 0.7889 0.5000 0.2889
```

Values from the calculation:
ΔE to the lowest computed polymorph = 37.0 meV per atom
Density of states at the Fermi level = 6.431 states/eV per cell
Theoretical density = 7.1 g/cm³
Calculated formation energy = -0.2523 eV per atom
Calculated total energy = -5.98 eV per atom
Magnetization = 0.0 Bohr magnetons per cell

---

Record 6
# CeScH

Crystalline CeScH at its relaxed geometry (PBE, Alexandria via LeMat-Bulk).

Structure (CIF):
```
data_CeScH
_cell_length_a 7.0570
_cell_length_b 5.3870
_cell_length_c 6.6508
_cell_angle_alpha 90.00
_cell_angle_beta 117.29
_cell_angle_gamma 90.00
_symmetry_space_group_name_H-M 'P 1'
_symmetry_Int_Tables_number 1
loop_
_symmetry_equiv_pos_as_xyz
'x,y,z'
loop_
_atom_site_label
_atom_site_type_symbol
_atom_site_fract_x
_atom_site_fract_y
_atom_site_fract_z
Ce1 Ce 0.0687 0.2435 0.4025
Ce2 Ce 0.0687 0.2565 0.9025
Ce3 Ce 0.9313 0.7435 0.0975
Ce4 Ce 0.9313 0.7565 0.5975
Sc1 Sc 0.4268 0.7314 0.5958
Sc2 Sc 0.4268 0.7686 0.0958
Sc3 Sc 0.5732 0.2314 0.9042
Sc4 Sc 0.5732 0.2686 0.4042
H1 H 0.4187 0.1451 0.0832
H2 H 0.4187 0.3549 0.5832
H3 H 0.5813 0.6451 0.4168
H4 H 0.5813 0.8549 0.9168
```

Values from the calculation:
ΔE to the lowest computed polymorph = 0.0 meV per atom
Density of states at the Fermi level = 18.829 states/eV per cell
Theoretical density = 5.5 g/cm³
Calculated total energy = -5.44 eV per atom
Magnetization = 1.7 Bohr magnetons per cell

---

Record 7
# Ga2Ag2P

Crystalline Ga2Ag2P at its relaxed geometry (PBE, Alexandria via LeMat-Bulk).

Structure (CIF):
```
data_Ga2Ag2P
_cell_length_a 7.8598
_cell_length_b 7.8598
_cell_length_c 2.9575
_cell_angle_alpha 90.00
_cell_angle_beta 90.00
_cell_angle_gamma 90.00
_symmetry_space_group_name_H-M 'P 1'
_symmetry_Int_Tables_number 1
loop_
_symmetry_equiv_pos_as_xyz
'x,y,z'
loop_
_atom_site_label
_atom_site_type_symbol
_atom_site_fract_x
_atom_site_fract_y
_atom_site_fract_z
Ga1 Ga 0.1788 0.3212 0.0000
Ga2 Ga 0.3212 0.8212 0.0000
Ga3 Ga 0.6788 0.1788 0.0000
Ga4 Ga 0.8212 0.6788 0.0000
Ag1 Ag 0.1238 0.6238 0.5000
Ag2 Ag 0.3762 0.1238 0.5000
Ag3 Ag 0.6238 0.8762 0.5000
Ag4 Ag 0.8762 0.3762 0.5000
P1 P 0.0000 0.0000 0.0000
P2 P 0.5000 0.5000 0.0000
```

Values from the calculation:
ΔE to the lowest computed polymorph = 3.5 meV per atom
Density of states at the Fermi level = 4.324 states/eV per cell
Theoretical density = 7.0 g/cm³
Calculated formation energy = 0.2842 eV per atom
Calculated total energy = -3.15 eV per atom
Magnetization = 0.0 Bohr magnetons per cell

---

Record 8
# LiScTcAu2

Crystalline LiScTcAu2 at its relaxed geometry (PBE, Alexandria via LeMat-Bulk).

Structure (CIF):
```
data_LiScTcAu2
_cell_length_a 4.3114
_cell_length_b 4.3114
_cell_length_c 4.5576
_cell_angle_alpha 90.00
_cell_angle_beta 90.00
_cell_angle_gamma 90.00
_symmetry_space_group_name_H-M 'P 1'
_symmetry_Int_Tables_number 1
loop_
_symmetry_equiv_pos_as_xyz
'x,y,z'
loop_
_atom_site_label
_atom_site_type_symbol
_atom_site_fract_x
_atom_site_fract_y
_atom_site_fract_z
Li1 Li 0.0000 0.0000 0.0000
Sc1 Sc 0.0000 0.0000 0.5000
Tc1 Tc 0.5000 0.5000 0.5000
Au1 Au 0.0000 0.5000 0.0000
Au2 Au 0.5000 0.0000 0.0000
```

Values from the calculation:
Density of states at the Fermi level = 3.240 states/eV per cell
Theoretical density = 10.7 g/cm³
Calculated formation energy = 0.4699 eV per atom
Calculated total energy = -4.56 eV per atom
Magnetization = 1.0 Bohr magnetons per cell

---

Record 9
# Pm3Al4Pt4

Crystalline Pm3Al4Pt4 at its relaxed geometry (PBE, Alexandria via LeMat-Bulk).

Structure (CIF):
```
data_Pm3Al4Pt4
_cell_length_a 6.7138
_cell_length_b 6.7138
_cell_length_c 6.7138
_cell_angle_alpha 109.47
_cell_angle_beta 109.47
_cell_angle_gamma 109.47
_symmetry_space_group_name_H-M 'P 1'
_symmetry_Int_Tables_number 1
loop_
_symmetry_equiv_pos_as_xyz
'x,y,z'
loop_
_atom_site_label
_atom_site_type_symbol
_atom_site_fract_x
_atom_site_fract_y
_atom_site_fract_z
Pm1 Pm 0.0000 0.5000 0.5000
Pm2 Pm 0.5000 0.0000 0.5000
Pm3 Pm 0.5000 0.5000 0.0000
Al1 Al 0.0000 0.0000 0.7365
Al2 Al 0.0000 0.7365 0.0000
Al3 Al 0.2635 0.2635 0.2635
Al4 Al 0.7365 0.0000 0.0000
Pt1 Pt 0.0000 0.0000 0.3741
Pt2 Pt 0.0000 0.3741 0.0000
Pt3 Pt 0.3741 0.0000 0.0000
Pt4 Pt 0.6259 0.6259 0.6259
```

Values from the calculation:
ΔE to the lowest computed polymorph = 129.4 meV per atom
Density of states at the Fermi level = 11.575 states/eV per cell
Theoretical density = 9.4 g/cm³
Calculated formation energy = -0.9776 eV per atom
Calculated total energy = -5.83 eV per atom
Magnetization = 0.0 Bohr magnetons per cell

---

Record 10
# NaCdSO4

Crystalline NaCdSO4 at its relaxed geometry (PBE, Alexandria via LeMat-Bulk).

Structure (CIF):
```
data_NaCdSO4
_cell_length_a 6.6656
_cell_length_b 6.6656
_cell_length_c 6.6656
_cell_angle_alpha 129.03
_cell_angle_beta 117.01
_cell_angle_gamma 85.19
_symmetry_space_group_name_H-M 'P 1'
_symmetry_Int_Tables_number 1
loop_
_symmetry_equiv_pos_as_xyz
'x,y,z'
loop_
_atom_site_label
_atom_site_type_symbol
_atom_site_fract_x
_atom_site_fract_y
_atom_site_fract_z
Na1 Na 0.0000 0.0000 0.0000
Na2 Na 0.5000 0.0000 0.5000
Cd1 Cd 0.5000 0.0000 0.0000
Cd2 Cd 0.5000 0.5000 0.5000
S1 S 0.1465 0.3965 0.7500
S2 S 0.8535 0.6035 0.2500
O1 O 0.1155 0.6893 0.4262
O2 O 0.2357 0.2704 0.5347
O3 O 0.2357 0.7010 0.9653
O4 O 0.2369 0.3107 0.9262
O5 O 0.7631 0.6893 0.0738
O6 O 0.7643 0.2990 0.0347
O7 O 0.7643 0.7296 0.4653
O8 O 0.8845 0.3107 0.5738
```

Values from the calculation:
Density of states at the Fermi level = 1.040 states/eV per cell
Theoretical density = 3.9 g/cm³
Calculated total energy = -5.04 eV per atom
Magnetization = 0.0 Bohr magnetons per cell

---

- What is the theoretical density in the sixth record?
  5.5 g/cm³

---

- Look up the calculated total energy of the third one.
  -9.11 eV per atom

---

- Which value of magnetization does entry 1 give?
  0.4 Bohr magnetons per cell

---

Copy entry 2 word for word.
# NbReAs2Br

Crystalline NbReAs2Br at its relaxed geometry (PBE, Alexandria via LeMat-Bulk).

Structure (CIF):
```
data_NbReAs2Br
_cell_length_a 5.0293
_cell_length_b 5.0293
_cell_length_c 5.1477
_cell_angle_alpha 90.00
_cell_angle_beta 90.00
_cell_angle_gamma 90.00
_symmetry_space_group_name_H-M 'P 1'
_symmetry_Int_Tables_number 1
loop_
_symmetry_equiv_pos_as_xyz
'x,y,z'
loop_
_atom_site_label
_atom_site_type_symbol
_atom_site_fract_x
_atom_site_fract_y
_atom_site_fract_z
Nb1 Nb 0.0000 0.0000 0.0000
Re1 Re 0.5000 0.5000 0.5000
As1 As 0.0000 0.5000 0.0000
As2 As 0.5000 0.0000 0.0000
Br1 Br 0.0000 0.0000 0.5000
```

Values from the calculation:
ΔE to the lowest computed polymorph = 199.1 meV per atom
Density of states at the Fermi level = 1.951 states/eV per cell
Theoretical density = 6.5 g/cm³
Calculated total energy = -5.47 eV per atom
Magnetization = 5.2 Bohr magnetons per cell